Record 1
DFT (PBE-GGA) results for an optimized crystal structure of SmScSnPt.

Unit cell a=7.1702 b=7.1702 c=7.1702 alpha=90.00 beta=90.00 gamma=90.00
Space group F-43m (No. 216)
Inequivalent atoms, fractional coordinates:
Sm 0.0000 0.0000 0.0000 x4
Sc 0.0000 0.0000 0.5000 x4
Sn 0.2500 0.2500 0.2500 x4
Pt 0.2500 0.2500 0.7500 x4

## Properties
Total moment   0.000 μB per formula unit



Record 2
DFT (PBE-GGA) results for an optimized crystal structure of SmScTlPt.

Unit cell a=7.1808 b=7.1808 c=7.1808 alpha=90.00 beta=90.00 gamma=90.00
Space group F-43m (No. 216)
Inequivalent atoms, fractional coordinates:
Sm 0.0000 0.0000 0.0000 x4
Sc 0.0000 0.0000 0.5000 x4
Tl 0.2500 0.2500 0.2500 x4
Pt 0.2500 0.2500 0.7500 x4

## Properties
Total moment   0.000 μB per formula unit



Record 3
DFT (PBE-GGA) results for an optimized crystal structure of SmScZnPt2.

Unit cell a=4.0404 b=4.0404 c=12.5103 alpha=90.00 beta=90.00 gamma=90.00
Space group I-4m2 (No. 119)
Inequivalent atoms, fractional coordinates:
Sm 0.0000 0.0000 0.0000 x2
Sc 0.0000 0.5000 0.2500 x2
Zn 0.0000 0.5000 0.7500 x2
Pt 0.0000 0.0000 0.3917 x4

## Properties
Total moment   0.000 μB per formula unit



Record 4
DFT (PBE-GGA) results for an optimized crystal structure of Sm2ScZn2Pt5.

Unit cell a=9.7826 b=9.7826 c=3.8581 alpha=90.00 beta=90.00 gamma=90.00
Space group P4/mbm (No. 127)
Inequivalent atoms, fractional coordinates:
Sm 0.1760 0.3240 0.0000 x4
Sc 0.0000 0.0000 0.0000 x2
Zn 0.1209 0.6209 0.0000 x4
Pt 0.0000 0.5000 0.5000 x2
Pt 0.0652 0.7935 0.5000 x8

## Properties
Total moment   0.000 μB per formula unit



Number 1: calculated volume 23.0 A^3/atom, calculated total energy -96.8 eV per cell. Number 2: calculated volume 23.1 A^3/atom, calculated total energy -87.7 eV per cell. Number 3: calculated volume 20.4 A^3/atom, calculated total energy -58.7 eV per cell. Number 4: calculated volume 18.5 A^3/atom, calculated total energy -116.2 eV per cell.